1.
This record from the Alexandria database describes an optimized crystal structure of Ho6Er3Tm2In. The functional is PBE-GGA.

Output
VASP energy ... -106.539 eV for the cell shown
E_form ... -36 meV/atom

Unit cell a=6.037 b=10.468 c=11.519 alpha=90.00 beta=100.14 gamma=90.00
Space group C2/m (No. 12)
Unique sites:
1 Ho 0.247 0.165 0.247 [8 per cell]
2 Ho 0.248 0.000 0.752 [4 per cell]
3 Er 0.000 0.167 0.500 [4 per cell]
4 Er 0.000 0.500 0.500 [2 per cell]
5 Tm 0.000 0.334 0.000 [4 per cell]
6 In 0.000 0.000 0.000 [2 per cell]

2.
This record from the Alexandria database describes an optimized crystal structure of La8CeTm2. The functional is PBE-GGA.

Output
VASP energy ... -106.330 eV for the cell shown
E_form ... 103 meV/atom

Unit cell a=5.785 b=8.170 c=16.272 alpha=90.00 beta=90.00 gamma=90.00
Space group Immm (No. 71)
Unique sites:
1 La 0.000 0.000 0.162 [4 per cell]
2 La 0.000 0.208 0.368 [8 per cell]
3 La 0.000 0.283 0.000 [4 per cell]
4 Ce 0.000 0.500 0.500 [2 per cell]
5 Tm 0.000 0.500 0.201 [4 per cell]